First-principles (PBE-GGA) data for TlCoCuTe2Se after structural relaxation, as listed in the Open Quantum Materials Database.

Its final energy is -3.894 eV/atom. The crystal system is orthorhombic.

Unit cell a=3.782 b=15.040 c=9.898 alpha=90.00 beta=90.00 gamma=90.00
Space group Cmcm (No. 63)
Asymmetric unit:
1 Tl 0.000 0.246 0.250 x4
2 Co 0.000 0.000 0.000 x4
3 Cu 0.000 0.469 0.750 x4
4 Te 0.000 0.383 0.530 x8
5 Se 0.000 0.065 0.750 x4

=====

First-principles (PBE-GGA) data for ZrGaPb after structural relaxation, as listed in the Open Quantum Materials Database.

The relative energy among the computed polymorphs is 0.000 eV per atom. The crystal system is cubic.

Unit cell a=7.056 b=7.056 c=7.056 alpha=90.00 beta=90.00 gamma=90.00
Space group F-43m (No. 216)
Asymmetric unit:
1 Zr 0.000 0.000 0.000 x4
2 Ga 0.250 0.250 0.750 x4
3 Pb 0.250 0.250 0.250 x4

=====

First-principles (PBE-GGA) data for K2NdGd2Mg3Cd after structural relaxation, as listed in the Open Quantum Materials Database.

Its final energy is -2.046 eV/atom. The crystal system is orthorhombic.

Unit cell a=4.880 b=14.323 c=8.218 alpha=90.00 beta=90.00 gamma=90.00
Space group Amm2 (No. 38)
Asymmetric unit:
1 K 0.000 0.167 0.000 x4
2 Nd 0.500 0.000 0.126 x2
3 Gd 0.500 0.189 0.687 x4
4 Mg 0.000 0.000 0.719 x2
5 Mg 0.000 0.108 0.397 x4
6 Cd 0.500 0.000 0.509 x2

=====

First-principles (PBE-GGA) data for AcAl9Fe2 after structural relaxation, as listed in the Open Quantum Materials Database.

Its final energy is -4.889 eV/atom. The crystal system is hexagonal.

Unit cell a=7.9136 b=7.9136 c=3.9295 alpha=90.00 beta=90.00 gamma=120.00
Space group P6/mmm (No. 191)
Asymmetric unit:
1 Ac 0.0000 0.0000 0.0000 x1
2 Al 0.0000 0.5000 0.0000 x3
3 Al 0.2146 0.4292 0.5000 x6
4 Fe 0.3333 0.6667 0.0000 x2

=====

First-principles (PBE-GGA) data for Cs3ZnF5 after structural relaxation, as listed in the Open Quantum Materials Database.

Its final energy is -4.040 eV/atom. The crystal system is tetragonal.

Unit cell a=7.767 b=7.767 c=12.415 alpha=90.00 beta=90.00 gamma=90.00
Space group I4/mcm (No. 140)
Asymmetric unit:
1 Cs 0.000 0.000 0.250 x4
2 Cs 0.172 0.328 0.000 x8
3 Zn 0.000 0.500 0.250 x4
4 F 0.000 0.000 0.000 x4
5 F 0.140 0.360 0.342 x16

=====

First-principles (PBE-GGA) data for MgNiGeW after structural relaxation, as listed in the Open Quantum Materials Database.

Its final energy is -5.559 eV/atom. The crystal system is cubic.

Unit cell a=6.246 b=6.246 c=6.246 alpha=90.00 beta=90.00 gamma=90.00
Space group F-43m (No. 216)
Asymmetric unit:
1 Mg 0.000 0.000 0.000 x4
2 Ni 0.000 0.000 0.500 x4
3 Ge 0.250 0.250 0.250 x4
4 W 0.250 0.250 0.750 x4

=====

First-principles (PBE-GGA) data for SbOsPd2 after structural relaxation, as listed in the Open Quantum Materials Database.

Its final energy is -6.317 eV/atom. The crystal system is cubic.

Unit cell a=6.379 b=6.379 c=6.379 alpha=90.00 beta=90.00 gamma=90.00
Space group F-43m (No. 216)
Asymmetric unit:
1 Sb 0.000 0.000 0.000 x4
2 Os 0.250 0.250 0.250 x4
3 Pd 0.000 0.000 0.500 x4
4 Pd 0.250 0.250 0.750 x4

=====

First-principles (PBE-GGA) data for HoErZn2Pd4 after structural relaxation, as listed in the Open Quantum Materials Database.

For the formation energy from the elements, the calculation gives -0.76 eV/atom. The crystal system is tetragonal.

Unit cell a=4.657 b=4.657 c=6.593 alpha=90.00 beta=90.00 gamma=90.00
Space group P4/mmm (No. 123)
Asymmetric unit:
1 Ho 0.000 0.000 0.000 x1
2 Er 0.500 0.500 0.500 x1
3 Zn 0.000 0.000 0.500 x1
4 Zn 0.500 0.500 0.000 x1
5 Pd 0.000 0.500 0.251 x4

=====

First-principles (PBE-GGA) data for NiB2Pd after structural relaxation, as listed in the Open Quantum Materials Database.

Its final energy is -5.116 eV/atom. The crystal system is cubic.

Unit cell a=5.435 b=5.435 c=5.435 alpha=90.00 beta=90.00 gamma=90.00
Space group F-43m (No. 216)
Asymmetric unit:
1 Ni 0.000 0.000 0.000 x4
2 B 0.000 0.000 0.500 x4
3 B 0.250 0.250 0.750 x4
4 Pd 0.250 0.250 0.250 x4

=====

First-principles (PBE-GGA) data for BaYZnTe3 after structural relaxation, as listed in the Open Quantum Materials Database.

Its final energy is -4.307 eV/atom. The crystal system is orthorhombic.

Unit cell a=4.603 b=14.987 c=11.465 alpha=90.00 beta=90.00 gamma=90.00
Space group Cmcm (No. 63)
Asymmetric unit:
1 Ba 0.000 0.242 0.250 x4
2 Y 0.000 0.000 0.000 x4
3 Zn 0.000 0.477 0.750 x4
4 Te 0.000 0.075 0.750 x4
5 Te 0.000 0.364 0.561 x8

=====

First-principles (PBE-GGA) data for Gd2TmAl3Ge2Au after structural relaxation, as listed in the Open Quantum Materials Database.

Its final energy is -4.888 eV/atom. The crystal system is orthorhombic.

Unit cell a=4.274 b=12.174 c=7.095 alpha=90.00 beta=90.00 gamma=90.00
Space group Amm2 (No. 38)
Asymmetric unit:
1 Gd 0.000 0.207 0.000 x4
2 Tm 0.000 0.000 0.625 x2
3 Al 0.500 0.000 0.974 x2
4 Al 0.500 0.120 0.327 x4
5 Ge 0.500 0.164 0.707 x4
6 Au 0.000 0.000 0.220 x2

=====

First-principles (PBE-GGA) data for InCuPd after structural relaxation, as listed in the Open Quantum Materials Database.

The relative energy among the computed polymorphs is 0.000 eV per atom. The crystal system is cubic.

Unit cell a=6.141 b=6.141 c=6.141 alpha=90.00 beta=90.00 gamma=90.00
Space group F-43m (No. 216)
Asymmetric unit:
1 In 0.000 0.000 0.000 x4
2 Cu 0.000 0.000 0.500 x4
3 Pd 0.250 0.250 0.750 x4

=====

First-principles (PBE-GGA) data for Ho3Co4As after structural relaxation, as listed in the Open Quantum Materials Database.

Its final energy is -5.980 eV/atom. The crystal system is monoclinic.

Unit cell a=4.607 b=4.306 c=7.455 alpha=90.00 beta=90.37 gamma=90.00
Space group Pm (No. 6)
Asymmetric unit:
1 Ho 0.000 0.000 0.000 x1
2 Ho 0.012 0.500 0.538 x1
3 Ho 0.506 0.500 0.190 x1
4 Co 0.254 0.000 0.371 x1
5 Co 0.259 0.500 0.850 x1
6 Co 0.737 0.500 0.842 x1
7 Co 0.749 0.000 0.376 x1
8 As 0.504 0.000 0.694 x1

=====

First-principles (PBE-GGA) data for HfZn2Au after structural relaxation, as listed in the Open Quantum Materials Database.

For the formation energy from the elements, the calculation gives -0.29 eV/atom. The crystal system is cubic.

Unit cell a=6.478 b=6.478 c=6.478 alpha=90.00 beta=90.00 gamma=90.00
Space group F-43m (No. 216)
Asymmetric unit:
1 Hf 0.000 0.000 0.000 x4
2 Zn 0.000 0.000 0.500 x4
3 Zn 0.250 0.250 0.750 x4
4 Au 0.250 0.250 0.250 x4

=====

First-principles (PBE-GGA) data for Ba2MgTcS6 after structural relaxation, as listed in the Open Quantum Materials Database.

Its final energy is -5.113 eV/atom. The crystal system is monoclinic.

Unit cell a=11.927 b=6.885 c=6.886 alpha=90.00 beta=125.27 gamma=90.00
Space group C2/m (No. 12)
Asymmetric unit:
1 Ba 0.250 0.000 0.250 x4
2 Mg 0.000 0.000 0.500 x2
3 Tc 0.000 0.500 0.000 x2
4 S 0.001 0.256 0.757 x8
5 S 0.244 0.500 0.246 x4

=====

First-principles (PBE-GGA) data for SiTeMo after structural relaxation, as listed in the Open Quantum Materials Database.

The relative energy among the computed polymorphs is 0.294 eV per atom. The crystal system is cubic.

Unit cell a=6.231 b=6.231 c=6.231 alpha=90.00 beta=90.00 gamma=90.00
Space group F-43m (No. 216)
Asymmetric unit:
1 Si 0.000 0.000 0.000 x4
2 Te 0.250 0.250 0.250 x4
3 Mo 0.250 0.250 0.750 x4

=====

First-principles (PBE-GGA) data for Na2GdDyO4 after structural relaxation, as listed in the Open Quantum Materials Database.

Its final energy is -6.745 eV/atom. The crystal system is tetragonal.

Unit cell a=4.608 b=4.608 c=10.348 alpha=90.00 beta=90.00 gamma=90.00
Space group I-4m2 (No. 119)
Asymmetric unit:
1 Na 0.000 0.000 0.000 x2
2 Na 0.000 0.500 0.250 x2
3 Gd 0.000 0.000 0.500 x2
4 Dy 0.000 0.500 0.750 x2
5 O 0.000 0.000 0.276 x4
6 O 0.000 0.500 0.530 x4

=====

First-principles (PBE-GGA) data for DyLuCu after structural relaxation, as listed in the Open Quantum Materials Database.

For the formation energy from the elements, the calculation gives 0.69 eV/atom. The relative energy among the computed polymorphs is 0.000 eV per atom. The crystal system is cubic.

Unit cell a=6.656 b=6.656 c=6.656 alpha=90.00 beta=90.00 gamma=90.00
Space group F-43m (No. 216)
Asymmetric unit:
1 Dy 0.000 0.000 0.000 x4
2 Lu 0.250 0.250 0.750 x4
3 Cu 0.000 0.000 0.500 x4

=====

First-principles (PBE-GGA) data for ErLuAlCo2 after structural relaxation, as listed in the Open Quantum Materials Database.

Its final energy is -5.851 eV/atom. The crystal system is orthorhombic.

Unit cell a=4.001 b=5.406 c=8.120 alpha=90.00 beta=90.00 gamma=90.00
Space group Imm2 (No. 44)
Asymmetric unit:
1 Er 0.000 0.000 0.000 x2
2 Lu 0.000 0.000 0.409 x2
3 Al 0.000 0.500 0.204 x2
4 Co 0.000 0.276 0.705 x4

=====

First-principles (PBE-GGA) data for SmBPd after structural relaxation, as listed in the Open Quantum Materials Database.

The relative energy among the computed polymorphs is 0.000 eV per atom. The crystal system is cubic.

Unit cell a=6.030 b=6.030 c=6.030 alpha=90.00 beta=90.00 gamma=90.00
Space group F-43m (No. 216)
Asymmetric unit:
1 Sm 0.000 0.000 0.000 x4
2 B 0.250 0.250 0.750 x4
3 Pd 0.000 0.000 0.500 x4